{"formula": "SrCd5Ge2", "functional": "GGA-PBE", "state": "relaxed", "cell": [[-2.202, 4.281, 5.172], [2.202, -4.281, 5.172], [2.202, 4.281, -5.172]], "species": ["Sr", "Cd", "Cd", "Cd", "Cd", "Cd", "Ge", "Ge"], "fractional_positions": [[0.000, 0.000, 0.000], [0.164, 0.355, 0.809], [0.453, 0.645, 0.809], [0.500, 0.000, 0.500], [0.547, 0.355, 0.191], [0.836, 0.645, 0.191], [0.238, 0.738, 0.500], [0.762, 0.262, 0.500]], "n_ef_per_ev_fu": 3.3, "space_group": "Immm, No. 71", "delta_e_f_ev_per_atom": -0.15}